# NbFeSi

A geometry-optimized NbFeSi structure (PBE, the Open Quantum Materials Database).

- DFT total energy (eV per cell) = -50.46
- SG = No. 186
- M_tot (μB/f.u.) = 0.92
- crystal system = hexagonal

Cell lengths 4.024, 4.024, 6.006 Å; angles 90.00, 90.00, 120.00 degrees
Site moments in Bohr magnetons follow the coordinates.
Atoms (fractional coordinates):
Fe  0.333  0.667  0.061  0.87
Fe  0.667  0.333  0.561  0.91
Si  0.333  0.667  0.468  0.00
Si  0.667  0.333  0.968  0.00
Nb  0.000  0.000  0.722  -0.03
Nb  0.000  0.000  0.222  -0.03